[1]
The following is a PBE calculation of an optimized crystal structure of Rb3Mn, from Alexandria.

Geometry as CIF:
```
data_Rb3Mn
_chemical_formula_sum 'Rb12 Mn4'
_space_group_name_H-M_alt 'F m -3 m'
_space_group_IT_number 225
_space_group_name_Hall '-F 4 2 3'
_cell_length_a 9.8325
_cell_length_b 9.8325
_cell_length_c 9.8325
_cell_angle_alpha 90.00
_cell_angle_beta 90.00
_cell_angle_gamma 90.00
loop_
_atom_site_label
_atom_site_fract_x
_atom_site_fract_y
_atom_site_fract_z
Rb1 0.0000 0.0000 0.0000
Rb2 0.2500 0.2500 0.2500
Mn1 0.0000 0.0000 0.5000
```

Properties
DFT formation energy ... 2.70 eV/f.u.

[2]
The following is a PBE calculation of an optimized crystal structure of MgZrTi2C, from Alexandria.

Geometry as CIF:
```
data_MgZrTi2C
_chemical_formula_sum 'Mg1 Zr1 Ti2 C1'
_space_group_name_H-M_alt 'P 4/m m m'
_space_group_IT_number 123
_space_group_name_Hall '-P 4 2'
_cell_length_a 4.2897
_cell_length_b 4.2897
_cell_length_c 4.5683
_cell_angle_alpha 90.00
_cell_angle_beta 90.00
_cell_angle_gamma 90.00
loop_
_atom_site_label
_atom_site_fract_x
_atom_site_fract_y
_atom_site_fract_z
Mg1 0.0000 0.0000 0.0000
Zr1 0.5000 0.5000 0.0000
Ti1 0.0000 0.5000 0.5000
C1 0.5000 0.5000 0.5000
```

Properties
DFT formation energy ... -1.56 eV/f.u.

[3]
The following is a PBE calculation of an optimized crystal structure of RuBr2, from Alexandria.

Geometry as CIF:
```
data_RuBr2
_chemical_formula_sum 'Ru4 Br8'
_space_group_name_H-M_alt 'I 41/a m d'
_space_group_IT_number 141
_cell_length_a 3.3078
_cell_length_b 3.3078
_cell_length_c 29.3634
_cell_angle_alpha 90.00
_cell_angle_beta 90.00
_cell_angle_gamma 90.00
loop_
_space_group_symop_operation_xyz
'x,y,z'
'-x,-y,-z'
'-y+1/4,x+3/4,z+1/4'
'y+1/4,-x+3/4,-z+1/4'
'-x+1/2,-y,z+1/2'
'x+1/2,y,-z+1/2'
'y+1/4,-x+1/4,z+3/4'
'-y+1/4,x+1/4,-z+3/4'
'x,-y,-z'
'-x,y,z'
'-y+1/4,-x+1/4,-z+3/4'
'y+1/4,x+1/4,z+3/4'
'-x+1/2,y,-z+1/2'
'x+1/2,-y,z+1/2'
'y+1/4,x+3/4,-z+1/4'
'-y+1/4,-x+3/4,z+1/4'
'x+1/2,y+1/2,z+1/2'
'-x+1/2,-y+1/2,-z+1/2'
'-y+3/4,x+1/4,z+3/4'
'y+3/4,-x+1/4,-z+3/4'
'-x,-y+1/2,z'
'x,y+1/2,-z'
'y+3/4,-x+3/4,z+1/4'
'-y+3/4,x+3/4,-z+1/4'
'x+1/2,-y+1/2,-z+1/2'
'-x+1/2,y+1/2,z+1/2'
'-y+3/4,-x+3/4,-z+1/4'
'y+3/4,x+3/4,z+1/4'
'-x,y+1/2,-z'
'x,-y+1/2,z'
'y+3/4,x+1/4,-z+3/4'
'-y+3/4,-x+1/4,z+3/4'
loop_
_atom_site_label
_atom_site_fract_x
_atom_site_fract_y
_atom_site_fract_z
Ru1 0.0000 0.2500 0.3750
Br1 0.0000 0.2500 0.8182
```

Properties
Energy above the lowest structure with this stoichiometry ... 1.648 eV/f.u.
E_form (uncorrected) ... 483.8 meV/atom

[4]
The following is a PBE calculation of an optimized crystal structure of POs2Se, from Alexandria.

Geometry as CIF:
```
data_POs2Se
_chemical_formula_sum 'P2 Os4 Se2'
_space_group_name_H-M_alt 'I -4 m 2'
_space_group_IT_number 119
_space_group_name_Hall 'I -4 -2'
_cell_length_a 3.6602
_cell_length_b 3.6602
_cell_length_c 8.7554
_cell_angle_alpha 90.00
_cell_angle_beta 90.00
_cell_angle_gamma 90.00
loop_
_atom_site_label
_atom_site_fract_x
_atom_site_fract_y
_atom_site_fract_z
P1 0.0000 0.0000 0.0000
Os1 0.0000 0.0000 0.5000
Os2 0.0000 0.5000 0.2500
Se1 0.0000 0.5000 0.7500
```

Properties
Energy above the lowest structure with this stoichiometry ... 2.553 eV/f.u.
E_form (uncorrected) ... 834.6 meV/atom

[5]
The following is a PBE calculation of an optimized crystal structure of Rb2Na5Au4, from Alexandria.

Geometry as CIF:
```
data_Rb2Na5Au4
_chemical_formula_sum 'Rb4 Na10 Au8'
_space_group_name_H-M_alt 'C 1 2/m 1'
_space_group_IT_number 12
_space_group_name_Hall '-C 2y'
_cell_length_a 14.5798
_cell_length_b 6.7497
_cell_length_c 8.8494
_cell_angle_alpha 90.00
_cell_angle_beta 119.05
_cell_angle_gamma 90.00
loop_
_atom_site_label
_atom_site_fract_x
_atom_site_fract_y
_atom_site_fract_z
Rb1 0.2460 0.0000 0.1308
Na1 0.0000 0.5000 0.0000
Na2 0.1005 0.2463 0.4115
Au1 0.0863 0.0000 0.6845
Au2 0.2157 0.5000 0.2854
```

Properties
DFT formation energy ... -2.33 eV/f.u.

[6]
The following is a PBE calculation of an optimized crystal structure of HgBi3S6, from Alexandria.

Geometry as CIF:
```
data_HgBi3S6
_chemical_formula_sum 'Hg4 Bi12 S24'
_space_group_name_H-M_alt 'C m c 21'
_space_group_IT_number 36
_space_group_name_Hall 'C 2c -2'
_cell_length_a 11.0847
_cell_length_b 13.8486
_cell_length_c 6.7433
_cell_angle_alpha 90.00
_cell_angle_beta 90.00
_cell_angle_gamma 90.00
loop_
_atom_site_label
_atom_site_fract_x
_atom_site_fract_y
_atom_site_fract_z
Hg1 0.0000 0.1909 0.0000
Bi1 0.0000 0.3998 0.5956
Bi2 0.1842 0.1108 0.5369
S1 0.0000 0.0352 0.7897
S2 0.0000 0.2231 0.3591
S3 0.1617 0.4727 0.3167
S4 0.1723 0.2728 0.7808
```

Properties
Energy above the lowest structure with this stoichiometry ... 0.202 eV/f.u.
E_form (uncorrected) ... -152.6 meV/atom

[7]
The following is a PBE calculation of an optimized crystal structure of Cs2RbTl2, from Alexandria.

Geometry as CIF:
```
data_Cs2RbTl2
_chemical_formula_sum 'Cs4 Rb2 Tl4'
_space_group_name_H-M_alt 'C 1 2/m 1'
_space_group_IT_number 12
_space_group_name_Hall '-C 2y'
_cell_length_a 15.1706
_cell_length_b 5.5431
_cell_length_c 7.5781
_cell_angle_alpha 90.00
_cell_angle_beta 100.65
_cell_angle_gamma 90.00
loop_
_atom_site_label
_atom_site_fract_x
_atom_site_fract_y
_atom_site_fract_z
Cs1 0.1458 0.0000 0.0561
Rb1 0.0000 0.5000 0.5000
Tl1 0.2399 0.0000 0.5825
```

Properties
Energy above the lowest structure with this stoichiometry ... 0.048 eV/f.u.
DFT formation energy ... -0.16 eV/f.u.

[8]
The following is a PBE calculation of an optimized crystal structure of Ta3Nb3Rh, from Alexandria.

Geometry as CIF:
```
data_Ta3Nb3Rh
_chemical_formula_sum 'Ta12 Nb12 Rh4'
_space_group_name_H-M_alt 'C 1 2/m 1'
_space_group_IT_number 12
_space_group_name_Hall '-C 2y'
_cell_length_a 7.6944
_cell_length_b 10.3672
_cell_length_c 6.7532
_cell_angle_alpha 90.00
_cell_angle_beta 95.71
_cell_angle_gamma 90.00
loop_
_atom_site_label
_atom_site_fract_x
_atom_site_fract_y
_atom_site_fract_z
Ta1 0.1251 0.0000 0.3603
Ta2 0.2495 0.2637 0.2509
Nb1 0.0000 0.1454 0.0000
Nb2 0.0000 0.3559 0.5000
Nb3 0.1202 0.5000 0.8637
Rh1 0.2443 0.0000 0.7462
```

Properties
Energy above the lowest structure with this stoichiometry ... 1.045 eV/f.u.
DFT formation energy ... 2.49 eV/f.u.